{"formula": "La2Pm3Ho6Sc", "functional": "PBE", "state": "optimized geometry", "sg": "C2/m, No. 12", "dos_at_fermi_per_ev_fu": 14.85, "total_magnetization_mub_per_fu": 0.00, "volume_a3_per_cell": 385.3, "e_form_ev_per_atom": 0.03, "lattice": [[3.093, -5.358, 0.000], [3.093, 5.358, 0.000], [-2.058, 0.000, 11.624]], "species": ["La", "La", "Pm", "Pm", "Pm", "Ho", "Ho", "Ho", "Ho", "Ho", "Ho", "Sc"], "frac_coords": [[0.166, 0.834, 0.000], [0.834, 0.166, 0.000], [0.000, 0.000, 0.500], [0.333, 0.667, 0.500], [0.667, 0.333, 0.500], [0.087, 0.417, 0.750], [0.253, 0.253, 0.250], [0.417, 0.087, 0.750], [0.583, 0.913, 0.250], [0.747, 0.747, 0.750], [0.913, 0.583, 0.250], [0.500, 0.500, 0.000]]}



{"formula": "LaPmHo2Sc", "functional": "PBE", "state": "optimized geometry", "sg": "P2_1/m, No. 11", "dos_at_fermi_per_ev_fu": 8.76, "total_magnetization_mub_per_fu": 0.00, "volume_a3_per_cell": 314.8, "e_form_ev_per_atom": 0.06, "lattice": [[7.869, 0.000, 0.000], [0.000, 5.049, 0.000], [-0.049, 0.000, 7.924]], "species": ["La", "La", "Pm", "Pm", "Ho", "Ho", "Ho", "Ho", "Sc", "Sc"], "frac_coords": [[0.243, 0.250, 0.239], [0.757, 0.750, 0.761], [0.445, 0.250, 0.653], [0.555, 0.750, 0.347], [0.147, 0.750, 0.547], [0.339, 0.750, 0.946], [0.661, 0.250, 0.054], [0.853, 0.250, 0.453], [0.049, 0.250, 0.848], [0.951, 0.750, 0.152]]}